Record 1
A plane-wave DFT calculation with PBE-GGA was carried out for an optimized crystal structure of Ag5Pd2O4.

Computed properties:
Energy = -86.305 eV per cell
DOS(E_F) = 0.9070 states/eV/atom
Formation energy (no corrections) = 0.1202 eV per atom

Unit cell a=3.120 b=9.087 c=12.279 alpha=90.00 beta=90.00 gamma=90.00
Space group Immm (No. 71)
Asymmetric unit:
Ag (0.000, 0.000, 0.000) (multiplicity 2)
Ag (0.000, 0.198, 0.347) (multiplicity 8)
Pd (0.000, 0.500, 0.294) (multiplicity 4)
O (0.000, 0.344, 0.500) (multiplicity 4)
O (0.000, 0.500, 0.134) (multiplicity 4)

Record 2
A plane-wave DFT calculation with PBE-GGA was carried out for an optimized crystal structure of MgTe2Ru.

Computed properties:
Energy = -60.714 eV per cell
DOS(E_F) = 0.6852 states/eV/atom
Formation energy (no corrections) = 0.4938 eV per atom

Unit cell a=7.021 b=7.021 c=7.021 alpha=90.00 beta=90.00 gamma=90.00
Space group F-43m (No. 216)
Asymmetric unit:
Mg (0.000, 0.000, 0.000) (multiplicity 4)
Te (0.000, 0.000, 0.500) (multiplicity 4)
Te (0.250, 0.250, 0.750) (multiplicity 4)
Ru (0.250, 0.250, 0.250) (multiplicity 4)

Record 3
A plane-wave DFT calculation with PBE-GGA was carried out for an optimized crystal structure of Rb2NbO4.

Computed properties:
Energy = -90.883 eV per cell
DOS(E_F) = 0.4625 states/eV/atom
Formation energy (no corrections) = -1.9434 eV per atom

Unit cell a=4.116 b=4.116 c=14.633 alpha=90.00 beta=90.00 gamma=90.00
Space group I4/mmm (No. 139)
Asymmetric unit:
Rb (0.000, 0.000, 0.157) (multiplicity 4)
Nb (0.000, 0.000, 0.500) (multiplicity 2)
O (0.000, 0.000, 0.366) (multiplicity 4)
O (0.000, 0.500, 0.000) (multiplicity 4)

Record 4
A plane-wave DFT calculation with PBE-GGA was carried out for an optimized crystal structure of Yb3Cr.

Computed properties:
Energy = -26.428 eV per cell
DOS(E_F) = 8.6774 states/eV/atom
Formation enthalpy at 0 K = 0.2468 eV per atom

Unit cell a=5.012 b=5.012 c=9.101 alpha=90.00 beta=90.00 gamma=90.00
Space group I4/mmm (No. 139)
Asymmetric unit:
Yb (0.000, 0.000, 0.000) (multiplicity 2)
Yb (0.000, 0.500, 0.250) (multiplicity 4)
Cr (0.000, 0.000, 0.500) (multiplicity 2)

Record 5
A plane-wave DFT calculation with PBE-GGA was carried out for an optimized crystal structure of Pm2Sm5Y4.

Computed properties:
Energy = -113.388 eV per cell
Offset from the most stable computed form = 0.879 eV/f.u.
DOS(E_F) = 1.5233 states/eV/atom
Formation enthalpy at 0 K = 0.2054 eV per atom

Unit cell a=3.545 b=9.174 c=23.573 alpha=90.00 beta=90.00 gamma=90.00
Space group Immm (No. 71)
Asymmetric unit:
Pm (0.000, 0.000, 0.232) (multiplicity 4)
Sm (0.000, 0.197, 0.356) (multiplicity 8)
Sm (0.000, 0.500, 0.000) (multiplicity 2)
Y (0.000, 0.000, 0.098) (multiplicity 4)
Y (0.000, 0.311, 0.500) (multiplicity 4)

Record 6
A plane-wave DFT calculation with PBE-GGA was carried out for an optimized crystal structure of Pa2InPb.

Computed properties:
Energy = -25.128 eV per cell
Offset from the most stable computed form = 0.000 eV/f.u.
DOS(E_F) = 2.0620 states/eV/atom
Formation enthalpy at 0 K = 0.0777 eV per atom

Unit cell a=4.689 b=4.689 c=4.747 alpha=90.00 beta=90.00 gamma=90.00
Space group P4/mmm (No. 123)
Asymmetric unit:
Pa (0.000, 0.500, 0.000) (multiplicity 2)
In (0.000, 0.000, 0.500) (multiplicity 1)
Pb (0.500, 0.500, 0.500) (multiplicity 1)